The following is a DFT calculation (PBE) of an optimized crystal structure of Li3Cu2F7.

a = 17.7597 Å, b = 5.4538 Å, c = 5.2834 Å
α = 90.00°, β = 90.00°, γ = 90.00°
Last column: nearest neighbours and their distance in Å.
Space group Cmc2_1 (No. 36)
Inequivalent atoms, fractional coordinates:
1 Li 0.0000 0.2235 0.0000 x4  4 F 1.95-2.11
2 Li 0.1994 0.2956 0.9364 x8  4 F 1.96-2.03
3 Cu 0.1057 0.2473 0.4816 x8  4 F 1.90-2.05
4 F 0.0000 0.1293 0.3873 x4  2 Li 2.01-2.11, 2 Cu 2.05
5 F 0.0775 0.3878 0.8011 x8  1 Cu 1.92, 1 Li 1.95
6 F 0.1371 0.1023 0.1714 x8  1 Cu 1.90, 1 Li 1.97
7 F 0.2089 0.3656 0.5603 x8  3 Li 1.96-2.03, 1 Cu 1.99

E_form (uncorrected) ... -2213 meV/atom
Electronic total energy ... -214.4 eV/cell